No. 1
This record from Alexandria describes a relaxed structure of Dy12Er5Sc. The functional is PBE.

a b c (Å): 6.113 6.111 17.223
angles (deg): 93.39 96.78 59.99
Atoms (fractional coordinates):
Dy 0.890 0.666 0.667
Dy 0.556 0.334 0.667
Dy 0.615 0.000 0.835
Dy 0.444 0.666 0.333
Dy 0.277 0.669 0.835
Dy 0.110 0.334 0.333
Dy 0.054 0.669 0.165
Dy 0.946 0.331 0.835
Dy 0.223 0.000 0.667
Dy 0.385 0.000 0.165
Dy 0.777 0.000 0.333
Dy 0.723 0.331 0.165
Er 0.667 0.667 0.000
Er 0.333 0.333 0.000
Er 0.833 0.333 0.500
Er 0.167 0.667 0.500
Er 0.500 0.000 0.500
Sc 0.000 0.000 0.000

Computed properties:
The calculation puts the formation energy at 0.26 eV per formula unit. For the total energy, the calculation gives -4.67 eV/atom. Its symmetry is C2/m, No. 12.

No. 2
This record from Alexandria describes a relaxed structure of MgZrIr2. The functional is PBE.

a b c (Å): 8.770 8.770 8.770
angles (deg): 20.00 20.00 20.00
Atoms (fractional coordinates):
Ir 0.000 0.000 0.000
Ir 0.500 0.500 0.500
Zr 0.750 0.750 0.750
Mg 0.250 0.250 0.250

Computed properties:
The calculation puts the formation energy at -1.18 eV per formula unit. For the total energy, the calculation gives -7.26 eV/atom. Its symmetry is R-3m, No. 166.

No. 3
This record from Alexandria describes a relaxed structure of RbPtF. The functional is PBE.

a b c (Å): 7.090 3.654 7.132
angles (deg): 75.18 103.74 104.93
Atoms (fractional coordinates):
Rb 0.737 0.762 0.493
Rb 0.237 0.263 0.993
Pt 0.832 0.515 0.088
Pt 0.641 0.015 0.896
F 0.002 0.021 0.258
F 0.471 0.521 0.726

Computed properties:
For the total energy, the calculation gives -4.04 eV/atom. Its symmetry is P1, No. 1. The formation energy (no corrections) comes out at -1.08 eV per atom.

No. 4
This record from Alexandria describes a relaxed structure of Ca2La6RuN. The functional is PBE.

a b c (Å): 7.774 7.774 7.773
angles (deg): 119.98 119.98 89.98
Atoms (fractional coordinates):
La 0.236 0.764 0.000
La 0.764 0.236 0.999
La 0.763 0.763 0.999
La 0.237 0.237 0.000
La 0.763 0.764 0.526
La 0.236 0.237 0.474
Ca 0.250 0.750 0.499
Ca 0.750 0.250 0.499
N 0.000 0.001 0.001
Ru 0.500 0.501 0.000

Computed properties:
For the total energy, the calculation gives -5.39 eV/atom. Its symmetry is Cm, No. 8. The formation energy (no corrections) comes out at -0.27 eV per atom.

No. 5
This record from Alexandria describes a relaxed structure of PbO6F2. The functional is PBE.

a b c (Å): 3.857 7.069 7.629
angles (deg): 112.10 105.41 117.65
Atoms (fractional coordinates):
O 0.654 0.531 0.202
O 0.675 0.698 0.367
O 0.377 0.598 0.418
O 0.325 0.302 0.633
O 0.346 0.469 0.798
O 0.623 0.402 0.582
Pb 0.000 0.000 0.000
F 0.551 0.961 0.165
F 0.449 0.039 0.835

Computed properties:
For the total energy, the calculation gives -4.55 eV/atom. Its symmetry is P-1, No. 2. The formation energy (no corrections) comes out at -0.42 eV per atom.

No. 6
This record from Alexandria describes a relaxed structure of ZnP5. The functional is PBE.

a b c (Å): 2.311 2.311 20.895
angles (deg): 90.00 90.00 90.00
Atoms (fractional coordinates):
P 0.500 0.500 0.681
P 0.000 0.000 0.144
P 0.500 0.500 0.319
P 0.000 0.000 0.856
P 0.000 0.000 0.500
Zn 0.500 0.500 0.000

Computed properties:
The calculation puts the formation energy at 3.08 eV per formula unit. For the total energy, the calculation gives -4.21 eV/atom. Its symmetry is P4/mmm, No. 123.

No. 7
This record from Alexandria describes a relaxed structure of Sm5Dy4Th2. The functional is PBE.

a b c (Å): 3.423 9.263 13.319
angles (deg): 110.35 97.38 90.00
Atoms (fractional coordinates):
Th 0.108 0.108 0.216
Th 0.892 0.892 0.784
Dy 0.000 0.682 0.000
Dy 0.761 0.761 0.521
Dy 0.000 0.318 0.000
Dy 0.239 0.239 0.479
Sm 0.843 0.164 0.687
Sm 0.157 0.478 0.313
Sm 0.843 0.522 0.687
Sm 0.500 0.000 0.000
Sm 0.157 0.836 0.313

Computed properties:
The calculation puts the formation energy at 5.40 eV per formula unit. For the total energy, the calculation gives -4.68 eV/atom. Its symmetry is Immm, No. 71.

No. 8
This record from Alexandria describes a relaxed structure of HfMoHRh2. The functional is PBE.

a b c (Å): 4.020 4.020 4.074
angles (deg): 90.00 90.00 90.00
Atoms (fractional coordinates):
Mo 0.000 0.000 0.500
Rh 0.500 0.000 0.000
Rh 0.000 0.500 0.000
Hf 0.500 0.500 0.500
H 0.000 0.000 0.000

Computed properties:
For the total energy, the calculation gives -8.12 eV/atom. Its symmetry is P4/mmm, No. 123.

No. 9
This record from Alexandria describes a relaxed structure of Sc2AlCl. The functional is PBE.

a b c (Å): 4.910 4.910 4.910
angles (deg): 60.00 60.00 60.00
Atoms (fractional coordinates):
Cl 0.500 0.500 0.500
Al 0.000 0.000 0.000
Sc 0.250 0.250 0.250
Sc 0.750 0.750 0.750

Computed properties:
For the total energy, the calculation gives -4.94 eV/atom. Its symmetry is Fm-3m, No. 225. The formation energy (no corrections) comes out at -0.38 eV per atom.

No. 10
This record from Alexandria describes a relaxed structure of RbSr2InS4. The functional is PBE.

a b c (Å): 8.570 8.570 8.493
angles (deg): 119.70 119.70 89.45
Atoms (fractional coordinates):
Sr 0.000 0.000 0.500
Sr 0.500 0.500 0.000
Sr 0.500 0.000 0.500
Sr 0.500 0.000 0.000
S 0.691 0.274 0.483
S 0.774 0.191 0.983
S 0.742 0.758 0.006
S 0.226 0.809 0.017
S 0.742 0.758 0.494
S 0.309 0.726 0.517
S 0.258 0.242 0.994
S 0.258 0.242 0.506
Rb 0.000 0.500 0.000
Rb 0.000 0.500 0.500
In 0.000 0.000 0.000
In 0.500 0.500 0.500

Computed properties:
For the total energy, the calculation gives -4.27 eV/atom. Its symmetry is Imma, No. 74. The formation energy (no corrections) comes out at -1.33 eV per atom.

No. 11
This record from Alexandria describes a relaxed structure of Fe4Au. The functional is PBE.

a b c (Å): 4.887 4.887 4.887
angles (deg): 95.55 95.55 143.75
Last column: magnetic moment on the atom in μB.
Atoms (fractional coordinates):
Fe 0.608 0.817 0.425  2.65
Fe 0.183 0.608 0.790  2.65
Fe 0.392 0.183 0.575  2.65
Fe 0.817 0.392 0.210  2.65
Au 0.000 0.000 0.000  0.08

Computed properties:
The calculation puts the formation energy at 0.53 eV per formula unit. For the total energy, the calculation gives -7.32 eV/atom. Its symmetry is I4/m, No. 87.

No. 12
This record from Alexandria describes a relaxed structure of SmLuZnIr. The functional is PBE.

a b c (Å): 4.932 4.932 4.932
angles (deg): 60.00 60.00 60.00
Atoms (fractional coordinates):
Lu 0.750 0.750 0.750
Zn 0.000 0.000 0.000
Ir 0.500 0.500 0.500
Sm 0.250 0.250 0.250

Computed properties:
The calculation puts the formation energy at -2.42 eV per formula unit. For the total energy, the calculation gives -5.45 eV/atom. Its symmetry is F-43m, No. 216.

No. 13
This record from Alexandria describes a relaxed structure of YZn2Rh2. The functional is PBE.

a b c (Å): 7.289 7.289 3.100
angles (deg): 90.00 90.00 90.00
Atoms (fractional coordinates):
Rh 0.676 0.824 0.500
Rh 0.824 0.324 0.500
Rh 0.324 0.176 0.500
Rh 0.176 0.676 0.500
Y 0.000 0.000 0.000
Y 0.500 0.500 0.000
Zn 0.120 0.380 0.000
Zn 0.620 0.120 0.000
Zn 0.880 0.620 0.000
Zn 0.380 0.880 0.000

Computed properties:
The calculation puts the formation energy at -2.68 eV per formula unit. For the total energy, the calculation gives -5.28 eV/atom. Its symmetry is P4/mbm, No. 127.

No. 14
This record from Alexandria describes a relaxed structure of SmDyZnRh. The functional is PBE.

a b c (Å): 4.990 4.990 4.990
angles (deg): 60.00 60.00 60.00
Atoms (fractional coordinates):
Sm 0.250 0.250 0.250
Rh 0.500 0.500 0.500
Dy 0.750 0.750 0.750
Zn 0.000 0.000 0.000

Computed properties:
The calculation puts the formation energy at -2.25 eV per formula unit. For the total energy, the calculation gives -5.05 eV/atom. Its symmetry is F-43m, No. 216.

No. 15
This record from Alexandria describes a relaxed structure of LiLa2CuPt2. The functional is PBE.

a b c (Å): 5.865 5.842 8.619
angles (deg): 109.81 109.89 90.00
Atoms (fractional coordinates):
Li 0.000 0.250 0.000
Li 0.000 0.750 0.000
La 0.583 0.839 0.677
La 0.417 0.161 0.323
La 0.094 0.339 0.677
La 0.906 0.661 0.323
Pt 0.124 0.877 0.754
Pt 0.629 0.377 0.754
Pt 0.876 0.123 0.246
Pt 0.371 0.623 0.246
Cu 0.500 0.250 0.000
Cu 0.500 0.750 0.000

Computed properties:
The calculation puts the formation energy at -4.81 eV per formula unit. For the total energy, the calculation gives -5.46 eV/atom. Its symmetry is Ibam, No. 72.

No. 16
This record from Alexandria describes a relaxed structure of Sr2AgMoS. The functional is PBE.

a b c (Å): 5.945 5.048 5.945
angles (deg): 90.00 90.00 90.00
Last column: magnetic moment on the atom in μB.
Atoms (fractional coordinates):
Mo 0.000 0.500 0.000  3.13
Sr 0.000 0.000 0.500  0.00
Sr 0.500 0.000 0.000  -0.02
S 0.500 0.500 0.500  0.04
Ag 0.000 0.000 0.000  0.09

Computed properties:
For the total energy, the calculation gives -3.70 eV/atom. Its symmetry is P4/mmm, No. 123. The formation energy (no corrections) comes out at 0.53 eV per atom.

No. 17
This record from Alexandria describes a relaxed structure of SiNi2Hg. The functional is PBE.

a b c (Å): 8.049 8.049 8.049
angles (deg): 20.63 20.63 20.63
Atoms (fractional coordinates):
Ni 0.514 0.514 0.514
Ni 0.986 0.986 0.986
Hg 0.750 0.750 0.750
Si 0.250 0.250 0.250

Computed properties:
For the total energy, the calculation gives -4.37 eV/atom. Its symmetry is R-3m, No. 166. The formation energy (no corrections) comes out at -0.05 eV per atom.

No. 18
This record from Alexandria describes a relaxed structure of Cs2HfTlI6. The functional is PBE.

a b c (Å): 8.871 8.871 8.872
angles (deg): 60.00 60.00 90.00
Last column: magnetic moment on the atom in μB.
Atoms (fractional coordinates):
Cs 0.750 0.250 0.500  0.00
Cs 0.250 0.750 0.500  0.00
I 0.731 0.731 0.000  -0.01
I 0.731 0.731 0.539  0.00
I 0.269 0.269 0.000  -0.01
I 0.269 0.731 0.000  0.00
I 0.731 0.269 0.000  0.00
I 0.269 0.269 0.461  0.00
Tl 0.000 0.000 0.000  0.01
Hf 0.500 0.500 0.000  0.61

Computed properties:
For the total energy, the calculation gives -3.36 eV/atom. Its symmetry is Fm-3m, No. 225. The formation energy (no corrections) comes out at -1.03 eV per atom.

No. 19
This record from Alexandria describes a relaxed structure of BeSbBr2. The functional is PBE.

a b c (Å): 7.258 7.258 7.258
angles (deg): 147.80 147.80 46.17
Atoms (fractional coordinates):
Br 0.250 0.750 0.500
Br 0.000 0.000 0.000
Sb 0.500 0.500 0.000
Be 0.750 0.250 0.500

Computed properties:
For the total energy, the calculation gives -2.23 eV/atom. Its symmetry is I-4m2, No. 119. The formation energy (no corrections) comes out at 0.57 eV per atom.

No. 20
This record from Alexandria describes a relaxed structure of Th2Zr3Ge4. The functional is PBE.

a b c (Å): 7.416 7.555 7.532
angles (deg): 90.00 90.00 109.71
Atoms (fractional coordinates):
Ge 0.644 0.912 0.040
Ge 0.356 0.088 0.960
Ge 0.856 0.088 0.540
Ge 0.867 0.497 0.132
Ge 0.133 0.503 0.868
Ge 0.144 0.912 0.460
Ge 0.633 0.503 0.632
Ge 0.367 0.497 0.368
Th 0.062 0.190 0.173
Th 0.938 0.810 0.827
Th 0.562 0.190 0.327
Th 0.438 0.810 0.673
Zr 0.000 0.500 0.500
Zr 0.753 0.749 0.331
Zr 0.747 0.251 0.831
Zr 0.247 0.251 0.669
Zr 0.253 0.749 0.169
Zr 0.500 0.500 0.000

Computed properties:
The calculation puts the formation energy at -7.84 eV per formula unit. For the total energy, the calculation gives -7.42 eV/atom. Its symmetry is P2_1/c, No. 14.

Magnetization in μB per formula unit, matching the order above: 0.00; 0.00; 0.00; 0.01; 0.00; 0.00; 0.00; 0.00; 0.00; 0.00; 10.60; 0.00; 0.00; 0.00; 0.00; 4.02; 0.00; 1.00; 0.00; 0.00